Entry 1:
Compound: Tm7TlCo2
Source: Alexandria via LeMat-Bulk
Functional: PBE
Structure: optimized geometry

a = 4.905 Å, b = 7.916 Å, c = 7.916 Å
α = 113.18°, β = 90.00°, γ = 90.00°
Fractional positions:
Tm1 0.000 0.295 0.705
Tm2 0.500 0.318 0.052
Tm3 0.500 0.500 0.500
Tm4 0.500 0.052 0.318
Tm5 0.500 0.682 0.948
Co1 0.500 0.298 0.702
Tm6 0.500 0.948 0.682
Co2 0.500 0.702 0.298
Tm7 0.000 0.705 0.295
Tl1 0.000 0.000 0.000

The theoretical density is 8.84 Mg/m³. Its total magnetic moment is 0.00 μB per atom. The space group is Cmmm (65). The energy comes out at -4.83 eV per atom.

***

Entry 2:
Compound: FeSeCl2
Source: Alexandria via LeMat-Bulk
Functional: PBE
Structure: optimized geometry

a = 6.339 Å, b = 6.340 Å, c = 3.302 Å
α = 90.00°, β = 90.00°, γ = 135.34°
Site moments in Bohr magnetons follow the coordinates.
Fractional positions:
Cl1 0.997 0.003 0.000  0.09
Se1 0.643 0.357 0.500  0.11
Cl2 0.359 0.641 0.500  0.06
Fe1 0.500 0.500 0.000  2.54

The theoretical density is 3.66 Mg/m³. The energy above the lowest structure with this stoichiometry comes out at 72 meV/atom. Its total magnetic moment is 0.75 μB per atom. The space group is Amm2 (38).

***

Entry 3:
Compound: Li2ScBeCu
Source: Alexandria via LeMat-Bulk
Functional: PBE
Structure: optimized geometry

a = 5.079 Å, b = 4.619 Å, c = 5.079 Å
α = 90.00°, β = 90.00°, γ = 90.00°
Fractional positions:
Li1 0.500 0.000 0.000
Sc1 0.000 0.000 0.000
Cu1 0.000 0.500 0.000
Be1 0.500 0.500 0.500
Li2 0.000 0.000 0.500

The theoretical density is 1.83 Mg/m³. Its total magnetic moment is 0.00 μB per atom. The space group is P4/mmm (123). The energy comes out at -2.19 eV per atom.

***

Entry 4:
Compound: RbLi2BrCl2
Source: Alexandria via LeMat-Bulk
Functional: PBE
Structure: optimized geometry

a = 5.889 Å, b = 7.345 Å, c = 8.560 Å
α = 105.09°, β = 90.00°, γ = 90.00°
Fractional positions:
Cl1 0.750 0.394 0.261
Cl2 0.250 0.606 0.739
Rb1 0.750 0.329 0.636
Br1 0.250 0.150 0.933
Br2 0.750 0.850 0.067
Rb2 0.250 0.671 0.364
Li1 0.498 0.857 0.822
Li2 0.998 0.143 0.178
Li3 0.502 0.143 0.178
Cl3 0.750 0.873 0.620
Li4 0.002 0.857 0.822
Cl4 0.250 0.127 0.380

The theoretical density is 2.32 Mg/m³. Its total magnetic moment is 0.00 μB per atom. The space group is P2_1/m (11). The energy comes out at -3.44 eV per atom.

***

Entry 5:
Compound: YBeHg4
Source: Alexandria via LeMat-Bulk
Functional: PBE
Structure: optimized geometry

a = 5.882 Å, b = 5.882 Å, c = 5.882 Å
α = 60.00°, β = 60.00°, γ = 60.00°
Fractional positions:
Be1 0.000 0.000 0.000
Hg1 0.375 0.876 0.375
Hg2 0.375 0.375 0.876
Hg3 0.375 0.375 0.375
Y1 0.750 0.750 0.750
Hg4 0.876 0.375 0.375

The theoretical density is 10.39 Mg/m³. Its total magnetic moment is 0.00 μB per atom. The space group is F-43m (216). The energy comes out at -1.57 eV per atom.

***

Entry 6:
Compound: Er5Sb2Te
Source: Alexandria via LeMat-Bulk
Functional: PBE
Structure: optimized geometry

a = 6.013 Å, b = 6.931 Å, c = 13.412 Å
α = 90.00°, β = 90.00°, γ = 115.71°
Fractional positions:
Te1 0.242 0.485 0.250
Er1 0.622 0.245 0.940
Er2 0.350 0.701 0.750
Er3 0.947 0.894 0.888
Sb1 0.185 0.370 0.919
Er4 0.650 0.299 0.250
Sb2 0.185 0.370 0.581
Er5 0.947 0.894 0.612
Er6 0.378 0.755 0.060
Er7 0.622 0.245 0.560
Er8 0.053 0.106 0.112
Er9 0.378 0.755 0.440
Er10 0.053 0.106 0.388
Sb3 0.815 0.630 0.419
Te2 0.758 0.515 0.750
Sb4 0.815 0.630 0.081

The theoretical density is 7.96 Mg/m³. Its total magnetic moment is 0.00 μB per atom. The space group is Cmcm (63). The energy comes out at -4.88 eV per atom.